Below is NaLi2NbF8 after structural relaxation, with properties calculated at the GGA-PBE level.

Properties
- E_form (uncorrected): -2.925 eV per atom
- Magnetization: 0.00 μB per formula unit

Geometry as extended XYZ:
```
12
Lattice="-4.408 0.693 -1.832 -1.740 -4.201 1.606 -1.999 3.114 5.983" Properties=species:S:1:pos:R:3 pbc="T T T"
Na -0.999 1.557 2.992
Li -4.432 0.361 3.951
Li -3.716 -0.755 1.806
Nb 0.000 0.000 0.000
F -2.680 -2.565 2.093
F -4.473 -2.565 -0.157
F -4.267 0.300 0.071
F -5.467 2.171 3.665
F -3.675 2.171 5.914
F -3.881 -0.694 5.686
F -5.247 -0.872 2.838
F -2.900 0.478 2.919
```